A plane-wave DFT calculation with PBE-GGA was carried out for an optimized crystal structure of HgSb2Te2.

As for the offset from the most stable computed form: 201 meV per atom. For the density, the calculation gives 7.38 Mg/m³. Its energy relative to the elements, uncorrected is 1.13 eV/f.u. The total moment is 0.000 μB/atom. For the density of states at the Fermi level, the calculation gives 0.733 states/eV per atom.

The structure belongs to space group I4/mmm (No. 139); the cell edges are 4.402, 4.402 and 16.248 Å and the angles 90.00°, 90.00° and 90.00°. The distinct sites, in fractional coordinates, are Hg at (0.000, 0.000, 0.000), Sb at (0.000, 0.500, 0.250) and Te at (0.000, 0.000, 0.406).